# 1
Here is a relaxed structure of Ho2TcPt from Alexandria. Energies are from PBE.

Computed properties:
Space group: P4/mmm, No. 123
E_form (eV per formula unit): -2.417

Unit cell a=3.488 b=3.488 c=6.706 alpha=90.00 beta=90.00 gamma=90.00
Sites, in units of the cell vectors:
Ho: 0.000 0.000 0.247
Ho: 0.000 0.000 0.753
Tc: 0.500 0.500 0.000
Pt: 0.500 0.500 0.500


# 2
Here is a relaxed structure of Ho8TcPt2 from Alexandria. Energies are from PBE.

Computed properties:
Space group: Cm, No. 8
E_form (eV per formula unit): -4.872

Unit cell a=7.634 b=7.634 c=5.745 alpha=100.11 beta=100.11 gamma=113.67
Sites, in units of the cell vectors:
Ho: 0.000 0.000 0.000
Ho: 0.029 0.278 0.572
Ho: 0.137 0.568 0.177
Ho: 0.278 0.029 0.572
Ho: 0.433 0.681 0.765
Ho: 0.568 0.137 0.177
Ho: 0.681 0.433 0.765
Ho: 0.715 0.715 0.358
Tc: 0.358 0.358 0.287
Pt: 0.049 0.669 0.682
Pt: 0.669 0.049 0.682


# 3
Here is a relaxed structure of Ho4TcPt from Alexandria. Energies are from PBE.

Computed properties:
Space group: Pnma, No. 62
E_form (eV per formula unit): -3.195

Unit cell a=7.426 b=4.330 c=18.306 alpha=90.00 beta=90.00 gamma=90.00
Sites, in units of the cell vectors:
Ho: 0.009 0.250 0.073
Ho: 0.071 0.250 0.781
Ho: 0.090 0.250 0.353
Ho: 0.149 0.250 0.543
Ho: 0.351 0.750 0.043
Ho: 0.410 0.750 0.853
Ho: 0.429 0.750 0.281
Ho: 0.491 0.750 0.573
Ho: 0.509 0.250 0.427
Ho: 0.571 0.250 0.719
Ho: 0.590 0.250 0.147
Ho: 0.649 0.250 0.957
Ho: 0.851 0.750 0.457
Ho: 0.910 0.750 0.647
Ho: 0.929 0.750 0.219
Ho: 0.991 0.750 0.927
Tc: 0.249 0.750 0.438
Tc: 0.251 0.250 0.938
Tc: 0.749 0.750 0.062
Tc: 0.751 0.250 0.562
Pt: 0.222 0.250 0.205
Pt: 0.278 0.750 0.705
Pt: 0.722 0.250 0.295
Pt: 0.778 0.750 0.795